(1)
The following is a GGA-PBE calculation of crystalline Li4CaFe at its relaxed geometry, from Alexandria via LeMat-Bulk.

Properties
Its space group is No. 216. The calculated formation energy comes out at 0.330 eV/atom. Its density of states at the Fermi level is 1.037 states/eV per atom.

a = 5.5284 Å, b = 5.5284 Å, c = 5.5284 Å
α = 60.00°, β = 60.00°, γ = 60.00°
Sites, in units of the cell vectors:
Li1 0.3774 0.3774 0.3774
Li2 0.3774 0.3774 0.8678
Li3 0.3774 0.8678 0.3774
Li4 0.8678 0.3774 0.3774
Ca1 0.0000 0.0000 0.0000
Fe1 0.7500 0.7500 0.7500



(2)
The following is a GGA-PBE calculation of crystalline LiCaFe2 at its relaxed geometry, from Alexandria via LeMat-Bulk.

Properties
Its space group is No. 216. The calculated formation energy comes out at 0.469 eV/atom. Its density of states at the Fermi level is 0.527 states/eV per atom.

a = 4.5142 Å, b = 4.5142 Å, c = 4.5142 Å
α = 60.00°, β = 60.00°, γ = 60.00°
Sites, in units of the cell vectors:
Li1 0.0000 0.0000 0.0000
Ca1 0.7500 0.7500 0.7500
Fe1 0.2500 0.2500 0.2500
Fe2 0.5000 0.5000 0.5000



(3)
The following is a GGA-PBE calculation of crystalline LiCaFe2 at its relaxed geometry, from Alexandria via LeMat-Bulk.

Properties
Its space group is No. 47. The calculated formation energy comes out at 0.544 eV/atom. Its density of states at the Fermi level is 0.972 states/eV per atom.

a = 3.2962 Å, b = 4.2036 Å, c = 4.7093 Å
α = 90.00°, β = 90.00°, γ = 90.00°
Sites, in units of the cell vectors:
Li1 0.0000 0.0000 0.0000
Ca1 0.5000 0.5000 0.0000
Fe1 0.0000 0.5000 0.5000
Fe2 0.5000 0.0000 0.5000



(4)
The following is a GGA-PBE calculation of crystalline LiCaFe2 at its relaxed geometry, from Alexandria via LeMat-Bulk.

Properties
Its space group is No. 44. The calculated formation energy comes out at 0.459 eV/atom. Its density of states at the Fermi level is 1.049 states/eV per atom.

a = 5.3072 Å, b = 5.3072 Å, c = 5.3072 Å
α = 141.97°, β = 126.94°, γ = 67.13°
Sites, in units of the cell vectors:
Li1 0.0000 0.0000 0.0000
Ca1 0.2838 0.7838 0.5000
Fe1 0.5610 0.5610 0.0000
Fe2 0.7297 0.2297 0.5000